## ScAl2Pd2 (PBE)

Data for a relaxed ScAl2Pd2 crystal.

Lattice parameters (Å, degrees): 7.5145 7.5145 2.9122 90.00 90.00 90.00
Closest atoms and distances in Å follow each position.
Fractional coordinates of all 10 atoms:
Sc  0.0000  0.0000  0.0000  4 Pd 2.89, 2 Sc 2.91, 8 Al 3.20
Sc  0.5000  0.5000  0.0000  4 Pd 2.89, 2 Sc 2.91, 8 Al 3.20
Al  0.1518  0.3482  0.5000  6 Pd 2.62-2.65, 2 Al 2.91
Al  0.3482  0.8482  0.5000  6 Pd 2.62-2.65, 2 Al 2.91
Al  0.6518  0.1518  0.5000  6 Pd 2.62-2.65, 2 Al 2.91
Al  0.8482  0.6518  0.5000  6 Pd 2.62-2.65, 2 Al 2.91
Pd  0.1427  0.6427  0.0000  6 Al 2.62-2.65, 2 Sc 2.89, 2 Pd 2.91
Pd  0.3573  0.1427  0.0000  6 Al 2.62-2.65, 2 Sc 2.89, 2 Pd 2.91
Pd  0.6427  0.8573  0.0000  6 Al 2.62-2.65, 2 Sc 2.89, 2 Pd 2.91
Pd  0.8573  0.3573  0.0000  6 Al 2.62-2.65, 2 Sc 2.89, 2 Pd 2.91

formation energy: -73.95 kJ/mol of atoms

***

## ScAl2Pd2 (PBE)

Data for a relaxed ScAl2Pd2 crystal.

Lattice parameters (Å, degrees): 7.5561 7.5561 2.8516 90.00 90.00 90.00
Closest atoms and distances in Å follow each position.
Fractional coordinates of all 10 atoms:
Sc  0.0000  0.0000  0.0000  2 Sc 2.85, 4 Al 2.98, 8 Pd 3.15
Sc  0.5000  0.5000  0.0000  2 Sc 2.85, 4 Al 2.98, 8 Pd 3.15
Al  0.1268  0.3732  0.0000  6 Pd 2.60-2.68, 3 Al 2.71-2.85
Al  0.3732  0.8732  0.0000  6 Pd 2.60-2.68, 3 Al 2.71-2.85
Al  0.6268  0.1268  0.0000  6 Pd 2.60-2.68, 3 Al 2.71-2.85
Al  0.8732  0.6268  0.0000  6 Pd 2.60-2.68, 3 Al 2.71-2.85
Pd  0.1700  0.6700  0.5000  6 Al 2.60-2.68, 2 Pd 2.85
Pd  0.3300  0.1700  0.5000  6 Al 2.60-2.68, 2 Pd 2.85
Pd  0.6700  0.8300  0.5000  6 Al 2.60-2.68, 2 Pd 2.85
Pd  0.8300  0.3300  0.5000  6 Al 2.60-2.68, 2 Pd 2.85

formation energy: -72.26 kJ/mol of atoms

***

## ScAl2Pd (PBE)

Data for a relaxed ScAl2Pd crystal.

Lattice parameters (Å, degrees): 4.0283 4.0283 4.1727 90.00 90.00 90.00
Closest atoms and distances in Å follow each position.
Fractional coordinates of all 4 atoms:
Sc  0.0000  0.0000  0.0000  4 Pd 2.85, 8 Al 2.90
Al  0.0000  0.5000  0.5000  4 Al 2.85, 4 Sc 2.90, 4 Pd 2.90
Al  0.5000  0.0000  0.5000  4 Al 2.85, 4 Sc 2.90, 4 Pd 2.90
Pd  0.5000  0.5000  0.0000  4 Sc 2.85, 8 Al 2.90

formation energy: -60.56 kJ/mol of atoms

***

## ScAl2Pd (PBE)

Data for a relaxed ScAl2Pd crystal.

Lattice parameters (Å, degrees): 3.0755 3.0755 7.1729 90.00 90.00 90.00
Closest atoms and distances in Å follow each position.
Fractional coordinates of all 4 atoms:
Sc  0.0000  0.0000  0.0000  8 Al 3.00, 4 Sc 3.08
Al  0.5000  0.5000  0.2890  4 Pd 2.65
Al  0.5000  0.5000  0.7110  4 Pd 2.65
Pd  0.0000  0.0000  0.5000  8 Al 2.65

formation energy: -64.49 kJ/mol of atoms

***

## ScAlPd (PBE)

Data for a relaxed ScAlPd crystal.

Lattice parameters (Å, degrees): 7.4509 7.4509 7.4509 95.79 95.79 142.97
Closest atoms and distances in Å follow each position.
Fractional coordinates of all 12 atoms:
Sc  0.0000  0.2399  0.2399  4 Pd 2.67-2.94
Sc  0.0000  0.7601  0.7601  4 Pd 2.67-2.94
Sc  0.2399  0.0000  0.2399  4 Pd 2.67-2.94
Sc  0.7601  0.0000  0.7601  4 Pd 2.67-2.94
Al  0.3030  0.3030  0.6061  2 Pd 2.57, 2 Al 2.80
Al  0.3030  0.6970  0.0000  2 Pd 2.57, 2 Al 2.80
Al  0.6970  0.3030  0.0000  2 Pd 2.57, 2 Al 2.80
Al  0.6970  0.6970  0.3939  2 Pd 2.57, 2 Al 2.80
Pd  0.1369  0.5000  0.6369  2 Al 2.57, 2 Sc 2.67, 1 Pd 2.74
Pd  0.5000  0.1369  0.6369  2 Al 2.57, 2 Sc 2.67, 1 Pd 2.74
Pd  0.5000  0.8631  0.3631  2 Al 2.57, 2 Sc 2.67, 1 Pd 2.74
Pd  0.8631  0.5000  0.3631  2 Al 2.57, 2 Sc 2.67, 1 Pd 2.74

formation energy: -51.58 kJ/mol of atoms

***

## ScAl2Pd2 (PBE)

Data for a relaxed ScAl2Pd2 crystal.

Lattice parameters (Å, degrees): 6.1179 6.1179 6.1179 141.49 141.49 55.60
Closest atoms and distances in Å follow each position.
Fractional coordinates of all 5 atoms:
Sc  0.0000  0.0000  0.0000  8 Al 3.12, 8 Pd 3.38
Al  0.3835  0.3835  0.0000  4 Pd 2.48, 1 Al 2.52
Al  0.6165  0.6165  0.0000  4 Pd 2.48, 1 Al 2.52
Pd  0.2500  0.7500  0.5000  4 Al 2.48
Pd  0.7500  0.2500  0.5000  4 Al 2.48

formation energy: -67.22 kJ/mol of atoms

***

| no. | N(E_F) (states/eV/atom) |
| --- | --- |
| 1 | 0.627 |
| 2 | 0.634 |
| 3 | 0.909 |
| 4 | 0.546 |
| 5 | 0.765 |
| 6 | 0.586 |